The following is a DFT calculation (PBE with a Hubbard U) of crystalline MnInF2 at its relaxed geometry.

Cell: 5.926 5.926 6.578 Å, 63.23 63.23 90.00°
Positions (direct):
1 F 0.475 0.125 0.250
2 F 0.275 0.625 0.250
3 F 0.375 0.525 0.750
4 F 0.875 0.725 0.750
5 Mn 0.500 0.500 0.000
6 Mn 0.250 0.750 0.500
7 In 0.000 0.000 0.000
8 In 0.750 0.250 0.500

Results
* total magnetic moment: 9.6 Bohr magnetons per cell
* crystal system: tetragonal
* calculated total energy: -5.11 eV per atom